1.
VASP calculation (PBE) on a geometry-optimized Hf2CrAg structure.

symmetry	No. 225
formation energy	165	meV per atom

a = 4.6871 Å, b = 4.6871 Å, c = 4.6871 Å
α = 60.00°, β = 60.00°, γ = 60.00°
Last column: nearest neighbours and their distance in Å.
Fractional coordinates of all 4 atoms:
Hf 0.2500 0.2500 0.2500  4 Cr 2.87, 4 Ag 2.87
Hf 0.7500 0.7500 0.7500  4 Ag 2.87, 4 Cr 2.87
Cr 0.0000 0.0000 0.0000  8 Hf 2.87
Ag 0.5000 0.5000 0.5000  8 Hf 2.87

2.
VASP calculation (PBE) on a geometry-optimized Pa6Ga3Ru structure.

symmetry	No. 166
formation energy	-82	meV per atom

a = 7.8406 Å, b = 7.8406 Å, c = 7.8406 Å
α = 87.67°, β = 87.67°, γ = 87.67°
Last column: nearest neighbours and their distance in Å.
Fractional coordinates of all 20 atoms:
Pa 0.1058 0.7659 0.7659  1 Ru 2.73, 1 Pa 2.88
Pa 0.1655 0.5125 0.5125  1 Ru 2.62, 2 Pa 2.63-2.88
Pa 0.2341 0.2341 0.8942  1 Ru 2.73, 1 Pa 2.88
Pa 0.2341 0.8942 0.2341  1 Ru 2.73, 1 Pa 2.88
Pa 0.4875 0.4875 0.8345  1 Ru 2.62, 2 Pa 2.63-2.88
Pa 0.4875 0.8345 0.4875  1 Ru 2.62, 2 Pa 2.63-2.88
Pa 0.5125 0.1655 0.5125  1 Ru 2.62, 2 Pa 2.63-2.88
Pa 0.5125 0.5125 0.1655  1 Ru 2.62, 2 Pa 2.63-2.88
Pa 0.7659 0.1058 0.7659  1 Ru 2.73, 1 Pa 2.88
Pa 0.7659 0.7659 0.1058  1 Ru 2.73, 1 Pa 2.88
Pa 0.8345 0.4875 0.4875  1 Ru 2.62, 2 Pa 2.63-2.88
Pa 0.8942 0.2341 0.2341  1 Ru 2.73, 1 Pa 2.88
Ga 0.1188 0.1188 0.5358  1 Ga 2.78, 2 Pa 3.09
Ga 0.1188 0.5358 0.1188  1 Ga 2.78, 2 Pa 3.09
Ga 0.4642 0.8812 0.8812  1 Ga 2.78, 2 Pa 3.09
Ga 0.5358 0.1188 0.1188  1 Ga 2.78, 2 Pa 3.09
Ga 0.8812 0.4642 0.8812  1 Ga 2.78, 2 Pa 3.09
Ga 0.8812 0.8812 0.4642  1 Ga 2.78, 2 Pa 3.09
Ru 0.0000 0.0000 0.0000  6 Pa 2.73
Ru 0.5000 0.5000 0.5000  6 Pa 2.62

3.
VASP calculation (PBE) on a geometry-optimized KCo2Ir structure.

symmetry	No. 99
formation energy	624	meV per atom

a = 2.8109 Å, b = 2.8109 Å, c = 8.4653 Å
α = 90.00°, β = 90.00°, γ = 90.00°
Last column: nearest neighbours and their distance in Å.
Fractional coordinates of all 4 atoms:
K 0.0000 0.0000 0.0000  4 K 2.81
Co 0.0000 0.0000 0.4848  4 Co 2.36, 4 Ir 2.61
Co 0.5000 0.5000 0.3341  4 Co 2.36
Ir 0.5000 0.5000 0.6838  4 Co 2.61, 4 Ir 2.81

4.
VASP calculation (PBE) on a geometry-optimized CaSi2As structure.

raw formation energy	-0.109	eV/atom
symmetry	No. 160

a = 5.6238 Å, b = 5.6238 Å, c = 5.6238 Å
α = 45.47°, β = 45.47°, γ = 45.47°
Last column: nearest neighbours and their distance in Å.
Fractional coordinates of all 4 atoms:
Ca 0.0000 0.0000 0.0000  7 Si 3.12-3.35, 4 As 3.14-3.15
Si 0.4803 0.4803 0.4803  3 Si 2.54, 3 As 2.68
Si 0.7894 0.7894 0.7894  3 Si 2.54, 3 As 2.83
As 0.2088 0.2088 0.2088  6 Si 2.68-2.83

The following calculated volume values (in A^3/atom) correspond, in order, to the records above: 18.20; 24.04; 16.72; 20.59.